Density functional theory data (PBE-GGA) for a relaxed structure of CdHg2C.

Cell lengths 6.7608, 6.7608, 6.7608 Å; angles 90.00, 90.00, 90.00 degrees
With the nearest neighbours (Å) after each atom.
Fractional coordinates of all 16 atoms:
Cd  0.0000  0.0000  0.0000  8 Hg 2.93
Cd  0.0000  0.5000  0.5000  8 Hg 2.93
Cd  0.5000  0.0000  0.5000  8 Hg 2.93
Cd  0.5000  0.5000  0.0000  8 Hg 2.93
Hg  0.2500  0.2500  0.2500  4 C 2.93, 4 Cd 2.93
Hg  0.2500  0.2500  0.7500  4 Cd 2.93, 4 C 2.93
Hg  0.2500  0.7500  0.2500  4 Cd 2.93, 4 C 2.93
Hg  0.2500  0.7500  0.7500  4 Cd 2.93, 4 C 2.93
Hg  0.7500  0.2500  0.2500  4 Cd 2.93, 4 C 2.93
Hg  0.7500  0.2500  0.7500  4 Cd 2.93, 4 C 2.93
Hg  0.7500  0.7500  0.2500  4 Cd 2.93, 4 C 2.93
Hg  0.7500  0.7500  0.7500  4 Cd 2.93, 4 C 2.93
C  0.0000  0.0000  0.5000  8 Hg 2.93
C  0.0000  0.5000  0.0000  8 Hg 2.93
C  0.5000  0.0000  0.0000  8 Hg 2.93
C  0.5000  0.5000  0.5000  8 Hg 2.93

## Properties
- Space group: Fm-3m, No. 225
- Crystal system: cubic
- N(E_F): 0.468 states/eV/atom
- Energy relative to the lowest polymorph listed for this composition: 639 meV per atom
- Energy relative to the elements: 1438.9 meV per atom

Density functional theory data (PBE-GGA) for a relaxed structure of CdHg2C.

Cell lengths 6.9678, 6.9678, 6.9678 Å; angles 60.00, 60.00, 60.00 degrees
With the nearest neighbours (Å) after each atom.
Fractional coordinates of all 8 atoms:
Cd  0.1250  0.1250  0.1250  12 Hg 4.09, 4 Cd 4.27, 4 C 4.27
Cd  0.8750  0.8750  0.8750  12 Hg 4.09, 4 Cd 4.27, 4 C 4.27
Hg  0.0000  0.5000  0.5000  2 C 2.13
Hg  0.5000  0.0000  0.5000  2 C 2.13
Hg  0.5000  0.5000  0.0000  2 C 2.13
Hg  0.5000  0.5000  0.5000  2 C 2.13
C  0.3750  0.3750  0.3750  4 Hg 2.13
C  0.6250  0.6250  0.6250  4 Hg 2.13

## Properties
- Space group: Fd-3m, No. 227
- Crystal system: cubic
- N(E_F): 0.000 states/eV/atom
- Energy relative to the lowest polymorph listed for this composition: 0 meV per atom
- Energy relative to the elements: 800.2 meV per atom

Density functional theory data (PBE-GGA) for a relaxed structure of Cd3HgC.

Cell lengths 5.4487, 5.4487, 5.4487 Å; angles 90.00, 90.00, 90.00 degrees
With the nearest neighbours (Å) after each atom.
Fractional coordinates of all 5 atoms:
Cd  0.0000  0.0000  0.5000  2 Hg 2.72
Cd  0.0000  0.5000  0.0000  2 Hg 2.72
Cd  0.5000  0.0000  0.0000  2 Hg 2.72
Hg  0.0000  0.0000  0.0000  6 Cd 2.72
C  0.5000  0.5000  0.5000  12 Cd 3.85

## Properties
- Space group: Pm-3m, No. 221
- Crystal system: cubic
- N(E_F): 0.413 states/eV/atom
- Energy relative to the lowest polymorph listed for this composition: 879 meV per atom
- Energy relative to the elements: 1539.4 meV per atom

Density functional theory data (PBE-GGA) for a relaxed structure of CdHg3C.

Cell lengths 4.8723, 4.8723, 4.8723 Å; angles 90.00, 90.00, 90.00 degrees
With the nearest neighbours (Å) after each atom.
Fractional coordinates of all 5 atoms:
Cd  0.0000  0.0000  0.0000  12 Hg 3.45
Hg  0.0000  0.5000  0.5000  2 C 2.44
Hg  0.5000  0.0000  0.5000  2 C 2.44
Hg  0.5000  0.5000  0.0000  2 C 2.44
C  0.5000  0.5000  0.5000  6 Hg 2.44

## Properties
- Space group: Pm-3m, No. 221
- Crystal system: cubic
- N(E_F): 0.806 states/eV/atom
- Energy relative to the lowest polymorph listed for this composition: 0 meV per atom
- Energy relative to the elements: 927.7 meV per atom

Density functional theory data (PBE-GGA) for a relaxed structure of CdHg3C.

Cell lengths 5.6337, 5.6337, 5.6337 Å; angles 90.00, 90.00, 90.00 degrees
With the nearest neighbours (Å) after each atom.
Fractional coordinates of all 5 atoms:
Cd  0.0000  0.0000  0.0000  6 Hg 2.82
Hg  0.0000  0.0000  0.5000  2 Cd 2.82
Hg  0.0000  0.5000  0.0000  2 Cd 2.82
Hg  0.5000  0.0000  0.0000  2 Cd 2.82
C  0.5000  0.5000  0.5000  12 Hg 3.98

## Properties
- Space group: Pm-3m, No. 221
- Crystal system: cubic
- N(E_F): 0.489 states/eV/atom
- Energy relative to the lowest polymorph listed for this composition: 559 meV per atom
- Energy relative to the elements: 1486.5 meV per atom

Density functional theory data (PBE-GGA) for a relaxed structure of Cd2HgC.

Cell lengths 6.9365, 6.9365, 9.8668 Å; angles 90.00, 90.00, 90.00 degrees
With the nearest neighbours (Å) after each atom.
Fractional coordinates of all 16 atoms:
Cd  0.0000  0.0000  0.0000  2 C 2.13
Cd  0.0000  0.5000  0.0000  2 C 2.13
Cd  0.2500  0.2500  0.7500  2 C 2.13
Cd  0.2500  0.7500  0.2500  2 C 2.13
Cd  0.5000  0.0000  0.5000  2 C 2.13
Cd  0.5000  0.5000  0.5000  2 C 2.13
Cd  0.7500  0.2500  0.7500  2 C 2.13
Cd  0.7500  0.7500  0.2500  2 C 2.13
Hg  0.0000  0.2500  0.3750  12 Cd 4.07-4.09, 4 Hg 4.26, 4 C 4.26
Hg  0.0000  0.7500  0.6250  12 Cd 4.07-4.09, 4 Hg 4.26, 4 C 4.26
Hg  0.5000  0.2500  0.1250  12 Cd 4.07-4.09, 4 Hg 4.26, 4 C 4.26
Hg  0.5000  0.7500  0.8750  12 Cd 4.07-4.09, 4 Hg 4.26, 4 C 4.26
C  0.0000  0.2500  0.8750  4 Cd 2.13
C  0.0000  0.7500  0.1250  4 Cd 2.13
C  0.5000  0.2500  0.6250  4 Cd 2.13
C  0.5000  0.7500  0.3750  4 Cd 2.13

## Properties
- Space group: I4_1/amd, No. 141
- Crystal system: tetragonal
- N(E_F): 0.000 states/eV/atom
- Energy relative to the lowest polymorph listed for this composition: 0 meV per atom
- Energy relative to the elements: 685.2 meV per atom